# PBEsol LaTaCr2, optimized geometry
# Final energy in eV/cell: -35.24
# SG: R-3m (166)
# Volume in Å³/f.u.: 67
# E_form in meV/atom: 784
# Excess energy over the best structure of this formula in the dataset in eV/atom: 0.096
# Spin magnetization in μB per atom: 0.001
data_LaTaCr2
_symmetry_space_group_name_H-M 'P 1'
_symmetry_Int_Tables_number 1
_cell_length_a 3.108
_cell_length_b 3.108
_cell_length_c 8.165
_cell_angle_alpha 79.03
_cell_angle_beta 79.03
_cell_angle_gamma 60.00
loop_
_symmetry_equiv_pos_as_xyz
'x,y,z'
loop_
_atom_site_label
_atom_site_type_symbol
_atom_site_fract_x
_atom_site_fract_y
_atom_site_fract_z
_atom_site_occupancy
Ta1 Ta 0.000 0.000 0.000 1
Cr1 Cr 0.746 0.746 0.762 1
Cr2 Cr 0.254 0.254 0.238 1
La1 La 0.500 0.500 0.500 1